A geometry-optimized HgCl structure, computed with PBE.

Results
- ρ: 7.2 g/cm3
- Energy: -5.9 eV per cell
- Calculated volume: 109 Å³/cell
- Formation energy from raw total energies: -0.41 eV per atom

Lattice parameters (Å, degrees): 5.616 3.798 5.625 90.00 114.76 90.00
Sites, in units of the cell vectors:
Hg (0.111, 0.250, 0.387)
Hg (0.889, 0.750, 0.613)
Cl (0.320, 0.750, 0.179)
Cl (0.680, 0.250, 0.821)

=====

A geometry-optimized Hg2Cl structure, computed with PBE.

Results
- ρ: 8.8 g/cm3
- Energy: -6.4 eV per cell
- Calculated volume: 164 Å³/cell
- Formation energy from raw total energies: -0.26 eV per atom

Lattice parameters (Å, degrees): 8.099 8.099 6.031 111.72 111.72 26.66
Sites, in units of the cell vectors:
Hg (0.000, 0.000, 0.000)
Hg (0.000, 0.000, 0.500)
Hg (0.343, 0.343, 0.842)
Hg (0.657, 0.657, 0.158)
Cl (0.301, 0.301, 0.300)
Cl (0.699, 0.699, 0.700)

=====

A geometry-optimized Hg2Cl structure, computed with PBE.

Results
- ρ: 8.6 g/cm3
- Energy: -3.2 eV per cell
- Calculated volume: 84 Å³/cell
- Formation energy from raw total energies: -0.25 eV per atom

Lattice parameters (Å, degrees): 4.265 4.265 5.352 90.00 90.00 120.00
Sites, in units of the cell vectors:
Hg (0.333, 0.667, 0.147)
Hg (0.667, 0.333, 0.853)
Cl (0.000, 0.000, 0.500)

=====

A geometry-optimized Hg2Cl structure, computed with PBE.

Results
- ρ: 7.2 g/cm3
- Energy: -3.0 eV per cell
- Calculated volume: 101 Å³/cell
- Formation energy from raw total energies: -0.19 eV per atom

Lattice parameters (Å, degrees): 5.382 5.382 5.382 127.95 121.39 82.19
Sites, in units of the cell vectors:
Hg (0.171, 0.171, 0.000)
Hg (0.829, 0.829, 0.000)
Cl (0.500, 0.500, 0.000)